LiIn3Hg6: optimized geometry, PBE-GGA.

The space group is P1 (No. 1) and the conventional cell measures 3.329, 8.958 and 8.960 Å, with angles of 105.52, 93.92 and 93.84 degrees. The inequivalent atoms are Li at (0.000, 0.000, 0.000), In at (0.113, 0.518, 0.186), In at (0.118, 0.188, 0.517), In at (0.660, 0.514, 0.512), Hg at (0.428, 0.789, 0.789), Hg at (0.486, 0.167, 0.837), Hg at (0.486, 0.837, 0.167), Hg at (0.581, 0.212, 0.212), Hg at (0.931, 0.487, 0.845) and Hg at (0.932, 0.847, 0.488).

MgIn3Ag3: optimized geometry, PBE-GGA.

The space group is R-3 (No. 148, hexagonal axes) and the conventional cell measures 8.1004, 8.1004 and 16.9367 Å, with angles of 90.00, 90.00 and 120.00 degrees. The inequivalent atoms are Mg at (0.0000, 0.0000, 0.1688), In at (0.0002, 0.3357, 0.7126) and Ag at (0.0012, 0.3204, 0.5455).

Sm12Sc6In: optimized geometry, PBE-GGA.

The space group is Im-3 (No. 204) and the conventional cell measures 10.449, 10.449 and 10.449 Å, with angles of 90.00, 90.00 and 90.00 degrees. The inequivalent atoms are Sm at (0.000, 0.188, 0.266), Sc at (0.000, 0.360, 0.500) and In at (0.000, 0.000, 0.000).

Li7SmAu4: optimized geometry, PBE-GGA.

The space group is C2/m (No. 12) and the conventional cell measures 13.356, 4.776 and 8.582 Å, with angles of 90.00, 127.77 and 90.00 degrees. The inequivalent atoms are Li at (0.000, 0.000, 0.000), Li at (0.061, 0.500, 0.418), Li at (0.182, 0.000, 0.628), Li at (0.218, 0.500, 0.873), Sm at (0.000, 0.500, 0.000), Au at (0.059, 0.000, 0.774) and Au at (0.194, 0.000, 0.341).

NbAlP3: optimized geometry, PBE-GGA.

The space group is Pm-3m (No. 221) and the conventional cell measures 4.835, 4.835 and 4.835 Å, with angles of 90.00, 90.00 and 90.00 degrees. The inequivalent atoms are Nb at (0.000, 0.000, 0.000), Al at (0.500, 0.500, 0.500) and P at (0.000, 0.000, 0.500).

La3Y: optimized geometry, PBE-GGA.

The space group is Cm (No. 8) and the conventional cell measures 13.616, 3.739 and 6.437 Å, with angles of 90.00, 118.15 and 90.00 degrees. The inequivalent atoms are La at (0.000, 0.000, 0.000), La at (0.002, 0.500, 0.502), La at (0.251, 0.500, 0.417) and Y at (0.251, 0.000, 0.916).

Formation energy from the elements for the records above, in order: -69 -56 131 -277 445 32 meV/atom